(1)
SmZn12Rh6 (GGA-PBE, optimized geometry); space-group type = No. 166; uncorrected energy = -3.5693 eV per atom
1.0
7.075 0.014 0.019
-1.741 6.858 0.019
-1.741 -2.242 6.481
Zn Rh Sm
12 6 1
Direct
0.500 0.889 0.111
0.597 0.856 0.597
0.111 0.500 0.889
0.144 0.403 0.403
0.403 0.403 0.144
0.597 0.597 0.856
0.111 0.889 0.500
0.500 0.111 0.889
0.856 0.597 0.597
0.889 0.111 0.500
0.403 0.144 0.403
0.889 0.500 0.111
0.270 0.704 0.270
0.704 0.270 0.270
0.296 0.730 0.730
0.730 0.730 0.296
0.270 0.270 0.704
0.730 0.296 0.730
0.000 0.000 0.000

***

(2)
Sm2Zn7Rh (GGA-PBE, optimized geometry); space-group type = No. 115; uncorrected energy = -2.9164 eV per atom
1.0
-1.055 3.788 -1.123
0.326 -1.075 -3.932
-10.686 -2.997 -0.067
Zn Rh Sm
7 1 2
Direct
0.000 0.500 0.864
0.500 0.000 0.136
0.000 0.500 0.640
0.500 0.500 0.500
0.500 0.000 0.360
0.000 0.000 0.000
0.000 0.000 0.500
0.500 0.500 0.000
0.500 0.000 0.758
0.000 0.500 0.242

***

(3)
Sm3Zn2Rh6 (GGA-PBE, optimized geometry); space-group type = No. 229; uncorrected energy = -6.0658 eV per atom
1.0
-7.329 1.410 -3.266
4.912 -3.225 -5.642
-0.757 -5.194 6.230
Rh Sm Zn
12 6 4
Direct
0.000 0.656 0.344
0.344 0.656 0.000
0.312 0.656 0.656
0.656 0.000 0.344
0.656 0.656 0.312
0.344 0.000 0.656
0.000 0.344 0.656
0.656 0.344 0.000
0.688 0.344 0.344
0.344 0.688 0.344
0.344 0.344 0.688
0.656 0.312 0.656
0.291 0.291 0.000
0.709 0.709 0.000
0.000 0.709 0.709
0.291 0.000 0.291
0.709 0.000 0.709
0.000 0.291 0.291
0.000 0.500 0.000
0.500 0.500 0.500
0.500 0.000 0.000
0.000 0.000 0.500

***

(4)
Sm4Zn2Rh (GGA-PBE, optimized geometry); space-group type = No. 65; uncorrected energy = -4.4369 eV per atom
1.0
-3.356 2.892 2.264
-3.025 -5.046 1.961
4.227 1.572 4.257
Zn Sm Rh
2 4 1
Direct
0.000 0.246 0.754
0.000 0.754 0.246
0.000 0.257 0.257
0.500 0.000 0.500
0.000 0.743 0.743
0.500 0.500 0.000
0.500 0.500 0.500

***

(5)
SmZn3Rh2 (GGA-PBE, optimized geometry); space-group type = No. 63; uncorrected energy = -4.3743 eV per atom
1.0
5.761 0.000 0.000
0.000 6.019 -0.854
0.000 0.373 6.068
Zn Sm Rh
6 2 4
Direct
0.750 0.015 0.015
0.750 0.437 0.092
0.250 0.908 0.563
0.250 0.563 0.908
0.750 0.092 0.437
0.250 0.985 0.985
0.750 0.644 0.644
0.250 0.356 0.356
0.000 0.762 0.238
0.500 0.762 0.238
0.000 0.238 0.762
0.500 0.238 0.762

***

(6)
Sm4Zn3Rh (GGA-PBE, optimized geometry); space-group type = No. 123; uncorrected energy = -4.1819 eV per atom
1.0
3.617 0.000 0.000
0.000 3.617 0.000
0.000 0.000 14.373
Zn Rh Sm
3 1 4
Direct
0.500 0.500 0.752
0.500 0.500 0.248
0.500 0.500 0.500
0.500 0.500 0.000
0.000 0.000 0.885
0.000 0.000 0.627
0.000 0.000 0.115
0.000 0.000 0.373

***

(7)
Sm2Zn5Rh5 (GGA-PBE, optimized geometry); space-group type = No. 47; uncorrected energy = -4.9067 eV per atom
1.0
4.016 0.000 0.000
0.000 5.606 0.000
0.000 0.000 9.181
Zn Rh Sm
5 5 2
Direct
0.500 0.000 0.000
0.000 0.500 0.668
0.000 0.500 0.332
0.000 0.000 0.172
0.000 0.000 0.828
0.500 0.253 0.759
0.500 0.747 0.759
0.500 0.500 0.500
0.500 0.747 0.241
0.500 0.253 0.241
0.000 0.000 0.500
0.000 0.500 0.000

***

(8)
Sm2Zn3Rh (GGA-PBE, optimized geometry); space-group type = No. 8; uncorrected energy = -3.9345 eV per atom
1.0
-3.123 0.847 2.961
-2.211 -4.592 2.230
2.130 -0.091 5.521
Zn Rh Sm
3 1 2
Direct
0.833 0.235 0.100
0.836 0.617 0.710
0.172 0.754 0.902
0.155 0.376 0.314
0.450 0.808 0.291
0.554 0.209 0.683

***

(9)
Sm3Zn2Rh (GGA-PBE, optimized geometry); space-group type = No. 62; uncorrected energy = -4.4575 eV per atom; offset from the most stable computed form = 1.2 kJ/mol of atoms
1.0
4.518 0.000 0.000
0.000 10.628 0.000
0.000 0.000 12.279
Sm Rh Zn
12 4 8
Direct
0.250 0.711 0.237
0.750 0.559 0.609
0.750 0.289 0.763
0.750 0.941 0.109
0.750 0.611 0.944
0.250 0.789 0.737
0.250 0.441 0.391
0.750 0.211 0.263
0.250 0.111 0.556
0.250 0.389 0.056
0.750 0.889 0.444
0.250 0.059 0.891
0.250 0.133 0.117
0.750 0.867 0.883
0.250 0.367 0.617
0.750 0.633 0.383
0.250 0.005 0.299
0.250 0.792 0.991
0.750 0.292 0.509
0.750 0.995 0.701
0.750 0.208 0.009
0.250 0.495 0.799
0.250 0.708 0.491
0.750 0.505 0.201

***

(10)
Sm2Zn3Rh4 (GGA-PBE, optimized geometry); space-group type = No. 64; uncorrected energy = -5.3277 eV per atom
1.0
-0.287 -5.418 1.500
4.351 1.346 5.695
-6.064 4.251 3.628
Zn Rh Sm
6 8 4
Direct
0.500 0.500 0.000
0.485 0.250 0.469
0.985 0.250 0.469
0.015 0.750 0.531
0.515 0.750 0.531
0.000 0.000 0.000
0.818 0.250 0.137
0.670 0.516 0.340
0.682 0.750 0.863
0.330 0.484 0.660
0.170 0.984 0.340
0.830 0.016 0.660
0.182 0.750 0.863
0.318 0.250 0.137
0.895 0.410 0.791
0.395 0.090 0.791
0.605 0.910 0.209
0.105 0.590 0.209

***

(11)
Sm3Zn4Rh2 (GGA-PBE, optimized geometry); space-group type = No. 12; uncorrected energy = -4.3127 eV per atom
1.0
-2.166 3.619 -0.855
-3.576 -4.723 -0.100
1.505 2.784 7.971
Rh Sm Zn
2 3 4
Direct
0.398 0.796 0.735
0.602 0.204 0.265
0.314 0.629 0.355
0.686 0.371 0.645
0.000 0.000 0.000
0.972 0.944 0.632
0.028 0.056 0.368
0.283 0.565 0.949
0.717 0.435 0.051

***

(12)
SmZn6Rh4 (GGA-PBE, optimized geometry); space-group type = No. 121; uncorrected energy = -4.0025 eV per atom
1.0
-4.312 -2.040 -4.554
3.198 -4.359 3.777
-2.088 3.044 5.465
Rh Zn Sm
4 6 1
Direct
0.350 0.752 0.752
0.000 0.598 0.248
0.650 0.402 0.402
0.000 0.248 0.598
0.374 0.487 0.487
0.000 0.513 0.887
0.500 0.500 0.000
0.626 0.113 0.113
0.500 0.000 0.500
0.000 0.887 0.513
0.000 0.000 0.000